# SCAN KCoRu2, PBEsol geometry
data_KCoRu2
_cell_length_a 2.8588
_cell_length_b 2.8588
_cell_length_c 8.2025
_cell_angle_alpha 90.00
_cell_angle_beta 90.00
_cell_angle_gamma 90.00
_space_group_name_H-M_alt 'P 4/m m m'
_space_group_IT_number 123
_space_group_name_Hall '-P 4 2'
loop_
_atom_site_label
_atom_site_type_symbol
_atom_site_fract_x
_atom_site_fract_y
_atom_site_fract_z
K1 K 0.0000 0.0000 0.0000
Co1 Co 0.0000 0.0000 0.5000
Ru1 Ru 0.5000 0.5000 0.3358
# total magnetic moment	4.0	μB per cell
# ρ	7.44	g/cm3
# energy above the lowest structure with this stoichiometry	38	meV per atom
# ΔH_f (0 K)	0.875	eV/atom